A plane-wave DFT calculation with PBE was carried out for a geometry-optimized ScHRh structure.

Cell: 3.2480 3.7198 3.7198 Å, 120.00 90.00 90.00°
Positions (direct):
Rh: 0.1667 0.3333 0.6667
H: 0.1665 0.0000 0.0000
Sc: 0.6667 0.6667 0.3333

Calculated values
Total moment ... 0.00 μB per cell
ΔE to the lowest computed polymorph ... 0.237 eV/atom
E_tot ... -6.1221 eV/atom